[1]
Compound: Rb2NaCdH
Source: Alexandria
Functional: GGA-PBE
Structure: relaxed

- V (Å³/cell) = 181
- crystal system = tetragonal
- ΔE to the lowest computed polymorph (meV/atom) = 0.0

Cell: 6.012 6.012 4.999 Å, 90.00 90.00 90.00°
Space group P4/mmm (No. 123)
One atom of each set of equivalent atoms:
1 Rb 0.000 0.500 0.000
2 Na 0.000 0.000 0.500
3 Cd 0.500 0.500 0.500
4 H 0.000 0.000 0.000



[2]
Compound: Rb2NaCd2H6
Source: Alexandria
Functional: GGA-PBE
Structure: relaxed

- V (Å³/cell) = 424
- electronic total energy (eV per cell) = -51.656
- crystal system = monoclinic

Cell: 10.934 6.066 7.303 Å, 90.00 119.00 90.00°
Space group C2/m (No. 12)
One atom of each set of equivalent atoms:
1 Rb 0.203 0.000 0.176
2 Na 0.000 0.000 0.500
3 Cd 0.046 0.500 0.230
4 H 0.041 0.245 0.767
5 H 0.236 0.500 0.371



[3]
Compound: Rb3NaCd2H6
Source: Alexandria
Functional: GGA-PBE
Structure: relaxed

- V (Å³/cell) = 253
- electronic total energy (eV per cell) = -26.950
- crystal system = trigonal

Cell: 6.1683 6.1683 7.6918 Å, 90.00 90.00 120.00°
Space group P-3m1 (No. 164)
One atom of each set of equivalent atoms:
1 Rb 0.0000 0.0000 0.0000
2 Rb 0.3333 0.6667 0.6732
3 Na 0.0000 0.0000 0.5000
4 Cd 0.3333 0.6667 0.2067
5 H 0.1727 0.3454 0.3101



[4]
Compound: Rb2NaCdH
Source: Alexandria
Functional: GGA-PBE
Structure: relaxed

- V (Å³/cell) = 191
- crystal system = tetragonal
- ΔE to the lowest computed polymorph (meV/atom) = 49.9

Cell: 5.636 5.636 6.004 Å, 90.00 90.00 90.00°
Space group P4/mmm (No. 123)
One atom of each set of equivalent atoms:
1 Rb 0.000 0.500 0.000
2 Na 0.000 0.000 0.500
3 Cd 0.500 0.500 0.500
4 H 0.500 0.500 0.000



[5]
Compound: Rb3NaCd2H8
Source: Alexandria
Functional: GGA-PBE
Structure: relaxed

- V (Å³/cell) = 265
- electronic total energy (eV per cell) = -35.033
- crystal system = trigonal

Cell: 6.1671 6.1671 8.0410 Å, 90.00 90.00 120.00°
Space group P-3m1 (No. 164)
One atom of each set of equivalent atoms:
1 Rb 0.0000 0.0000 0.0000
2 Rb 0.3333 0.6667 0.6684
3 Na 0.0000 0.0000 0.5000
4 Cd 0.3333 0.6667 0.2284
5 H 0.1730 0.3460 0.3209
6 H 0.3333 0.6667 0.0059



[6]
Compound: NaCdHRh2
Source: Alexandria
Functional: GGA-PBE
Structure: relaxed

- V (Å³/cell) = 69
- electronic total energy (eV per cell) = -20.114
- crystal system = tetragonal

Cell: 3.985 3.985 4.333 Å, 90.00 90.00 90.00°
Space group P4/mmm (No. 123)
One atom of each set of equivalent atoms:
1 Na 0.000 0.000 0.000
2 Cd 0.500 0.500 0.000
3 H 0.000 0.000 0.500
4 Rh 0.000 0.500 0.500



Number 1: DOS at the Fermi energy 0.849 states/eV per atom. Number 2: DOS at the Fermi energy 0.201 states/eV per atom. Number 3: DOS at the Fermi energy 0.254 states/eV per atom. Number 4: DOS at the Fermi energy 0.200 states/eV per atom. Number 5: DOS at the Fermi energy 0.000 states/eV per atom. Number 6: DOS at the Fermi energy 0.941 states/eV per atom.